NdTl2W3O12 | GGA+U | optimized geometry

Calculated volume in Å³ per cell: 316.2
Uncorrected energy in eV per atom: -6.96
DOS(E_F) in states/eV/f.u.: 13.5

a b c (Å): 7.7649 7.7649 7.7649
angles (deg): 58.04 58.04 58.04
With the nearest neighbours (Å) after each atom.
Sites, in units of the cell vectors:
O (0.9142, 0.3740, 0.9142)  1 W 1.92
O (0.7070, 0.7070, 0.0672)  2 W 1.95
Nd (0.0000, 0.0000, 0.0000)  6 O 2.39
O (0.3740, 0.9142, 0.9142)  1 W 1.92
O (0.0858, 0.6260, 0.0858)  1 W 1.92
O (0.9328, 0.2930, 0.2930)  2 W 1.95
W (0.0000, 0.5000, 0.0000)  6 O 1.92-1.95
Tl (0.6680, 0.6680, 0.6680)  3 O 2.67
O (0.2930, 0.2930, 0.9328)  2 W 1.95
O (0.9142, 0.9142, 0.3740)  1 W 1.92
Tl (0.3320, 0.3320, 0.3320)  3 O 2.67
O (0.6260, 0.0858, 0.0858)  1 W 1.92
O (0.0672, 0.7070, 0.7070)  2 W 1.95
O (0.0858, 0.0858, 0.6260)  1 W 1.92
O (0.7070, 0.0672, 0.7070)  2 W 1.95
W (0.0000, 0.0000, 0.5000)  6 O 1.92-1.95
W (0.5000, 0.0000, 0.0000)  6 O 1.92-1.95
O (0.2930, 0.9328, 0.2930)  2 W 1.95